[1]
Below is a geometry-optimized Rb2MgBi2 structure, with properties calculated at the PBE level.

```
data_Rb2MgBi2
_symmetry_space_group_name_H-M 'P 4/m b m'
_symmetry_Int_Tables_number 127
_symmetry_space_group_name_Hall '-P 4 2ab'
_cell_length_a 8.013
_cell_length_b 8.013
_cell_length_c 6.175
_cell_angle_alpha 90.00
_cell_angle_beta 90.00
_cell_angle_gamma 90.00
loop_
_atom_site_label
_atom_site_type_symbol
_atom_site_fract_x
_atom_site_fract_y
_atom_site_fract_z
Rb1 Rb 0.165 0.335 0.000
Mg1 Mg 0.000 0.000 0.500
Bi1 Bi 0.140 0.640 0.500
```

## Properties
**Raw total energy**: -2.53 eV per atom
**Calculated formation energy**: -0.275 eV/atom
**Distance to the lowest polymorph of the same formula**: 0.0000 eV per atom
**Crystal system**: tetragonal
**Magnetization**: 0.00 μB per atom

[2]
Below is a geometry-optimized Rb2MgBi2 structure, with properties calculated at the PBE level.

```
data_Rb2MgBi2
_symmetry_space_group_name_H-M 'P 4/m b m'
_symmetry_Int_Tables_number 127
_symmetry_space_group_name_Hall '-P 4 2ab'
_cell_length_a 11.400
_cell_length_b 11.400
_cell_length_c 3.263
_cell_angle_alpha 90.00
_cell_angle_beta 90.00
_cell_angle_gamma 90.00
loop_
_atom_site_label
_atom_site_type_symbol
_atom_site_fract_x
_atom_site_fract_y
_atom_site_fract_z
Rb1 Rb 0.123 0.377 0.000
Mg1 Mg 0.000 0.000 0.000
Bi1 Bi 0.176 0.676 0.500
```

## Properties
**Raw total energy**: -2.13 eV per atom
**Calculated formation energy**: 0.126 eV/atom
**Distance to the lowest polymorph of the same formula**: 0.4010 eV per atom
**Crystal system**: tetragonal
**Magnetization**: 0.00 μB per atom

[3]
Below is a geometry-optimized RbMg3Bi structure, with properties calculated at the PBE level.

```
data_RbMg3Bi
_symmetry_space_group_name_H-M 'P m -3 m'
_symmetry_Int_Tables_number 221
_symmetry_space_group_name_Hall '-P 4 2 3'
_cell_length_a 6.018
_cell_length_b 6.018
_cell_length_c 6.018
_cell_angle_alpha 90.00
_cell_angle_beta 90.00
_cell_angle_gamma 90.00
loop_
_atom_site_label
_atom_site_type_symbol
_atom_site_fract_x
_atom_site_fract_y
_atom_site_fract_z
Rb1 Rb 0.000 0.000 0.000
Mg1 Mg 0.000 0.000 0.500
Bi1 Bi 0.500 0.500 0.500
```

## Properties
**Raw total energy**: -0.81 eV per atom
**Calculated formation energy**: 1.116 eV/atom
**Distance to the lowest polymorph of the same formula**: 0.8525 eV per atom
**Crystal system**: cubic
**Magnetization**: 0.00 μB per atom

[4]
Below is a geometry-optimized RbMgBi3 structure, with properties calculated at the PBE level.

```
data_RbMgBi3
_symmetry_space_group_name_H-M 'P m -3 m'
_symmetry_Int_Tables_number 221
_symmetry_space_group_name_Hall '-P 4 2 3'
_cell_length_a 5.717
_cell_length_b 5.717
_cell_length_c 5.717
_cell_angle_alpha 90.00
_cell_angle_beta 90.00
_cell_angle_gamma 90.00
loop_
_atom_site_label
_atom_site_type_symbol
_atom_site_fract_x
_atom_site_fract_y
_atom_site_fract_z
Rb1 Rb 0.000 0.000 0.000
Mg1 Mg 0.500 0.500 0.500
Bi1 Bi 0.000 0.500 0.500
```

## Properties
**Raw total energy**: -2.77 eV per atom
**Calculated formation energy**: 0.073 eV/atom
**Crystal system**: cubic
**Magnetization**: 0.00 μB per atom

[5]
Below is a geometry-optimized RbMg2Bi3 structure, with properties calculated at the PBE level.

```
data_RbMg2Bi3
_symmetry_space_group_name_H-M 'C m c m'
_symmetry_Int_Tables_number 63
_symmetry_space_group_name_Hall '-C 2c 2'
_cell_length_a 14.251
_cell_length_b 9.895
_cell_length_c 6.292
_cell_angle_alpha 90.00
_cell_angle_beta 90.00
_cell_angle_gamma 90.00
loop_
_atom_site_label
_atom_site_type_symbol
_atom_site_fract_x
_atom_site_fract_y
_atom_site_fract_z
Rb1 Rb 0.000 0.166 0.250
Mg1 Mg 0.187 0.500 0.000
Bi1 Bi 0.000 0.445 0.750
Bi2 Bi 0.212 0.221 0.750
```

## Properties
**Raw total energy**: -2.80 eV per atom
**Calculated formation energy**: -0.171 eV/atom
**Crystal system**: orthorhombic
**Magnetization**: 0.00 μB per atom

[6]
Below is a geometry-optimized RbMgBi structure, with properties calculated at the PBE level.

```
data_RbMgBi
_symmetry_space_group_name_H-M 'P 3 m 1'
_symmetry_Int_Tables_number 156
_symmetry_space_group_name_Hall 'P 3 -2"'
_cell_length_a 4.9720
_cell_length_b 4.9720
_cell_length_c 5.8628
_cell_angle_alpha 90.00
_cell_angle_beta 90.00
_cell_angle_gamma 120.00
loop_
_atom_site_label
_atom_site_type_symbol
_atom_site_fract_x
_atom_site_fract_y
_atom_site_fract_z
Rb1 Rb 0.0000 0.0000 0.0000
Mg1 Mg 0.3333 0.6667 0.4989
Bi1 Bi 0.6667 0.3333 0.5010
```

## Properties
**Raw total energy**: -2.49 eV per atom
**Calculated formation energy**: -0.344 eV/atom
**Crystal system**: trigonal
**Magnetization**: 0.00 μB per atom

[7]
Below is a geometry-optimized RbMg4Bi2 structure, with properties calculated at the PBE level.

```
data_RbMg4Bi2
_symmetry_space_group_name_H-M 'C 1 2/m 1'
_symmetry_Int_Tables_number 12
_symmetry_space_group_name_Hall '-C 2y'
_cell_length_a 10.078
_cell_length_b 4.561
_cell_length_c 9.908
_cell_angle_alpha 90.00
_cell_angle_beta 97.77
_cell_angle_gamma 90.00
loop_
_atom_site_label
_atom_site_type_symbol
_atom_site_fract_x
_atom_site_fract_y
_atom_site_fract_z
Rb1 Rb 0.000 0.000 0.000
Mg1 Mg 0.066 0.500 0.655
Mg2 Mg 0.136 0.000 0.445
Bi1 Bi 0.221 0.500 0.262
```

## Properties
**Raw total energy**: -2.39 eV per atom
**Calculated formation energy**: -0.231 eV/atom
**Crystal system**: monoclinic
**Magnetization**: 0.00 μB per atom

[8]
Below is a geometry-optimized RbMg3Bi2 structure, with properties calculated at the PBE level.

```
data_RbMg3Bi2
_symmetry_space_group_name_H-M 'C 1 2/m 1'
_symmetry_Int_Tables_number 12
_symmetry_space_group_name_Hall '-C 2y'
_cell_length_a 18.959
_cell_length_b 4.734
_cell_length_c 9.821
_cell_angle_alpha 90.00
_cell_angle_beta 113.99
_cell_angle_gamma 90.00
loop_
_atom_site_label
_atom_site_type_symbol
_atom_site_fract_x
_atom_site_fract_y
_atom_site_fract_z
Rb1 Rb 0.143 0.000 0.055
Mg1 Mg 0.040 0.000 0.392
Mg2 Mg 0.080 0.500 0.633
Mg3 Mg 0.178 0.500 0.443
Bi1 Bi 0.016 0.500 0.193
Bi2 Bi 0.198 0.000 0.668
```

## Properties
**Raw total energy**: -2.55 eV per atom
**Calculated formation energy**: -0.294 eV/atom
**Crystal system**: monoclinic
**Magnetization**: 0.00 μB per atom